Record 1
# RbSnHgI2 | Alexandria via LeMat-Bulk | PBE | optimized geometry
data_RbSnHgI2
_cell_length_a 6.3732
_cell_length_b 6.3732
_cell_length_c 5.8020
_cell_angle_alpha 90.00
_cell_angle_beta 90.00
_cell_angle_gamma 90.00
_space_group_name_H-M_alt 'P 1'
_space_group_IT_number 1
loop_
_space_group_symop_operation_xyz
'x,y,z'
loop_
_atom_site_label
_atom_site_type_symbol
_atom_site_fract_x
_atom_site_fract_y
_atom_site_fract_z
Rb1 Rb 0.0000 0.0000 0.0000
Sn1 Sn 0.5000 0.5000 0.5000
Hg1 Hg 0.5000 0.5000 0.0000
I1 I 0.0000 0.5000 0.5000
I2 I 0.5000 0.0000 0.5000
# Formation energy from raw total energies: -0.595 eV/atom

---

Record 2
# RbSrHgI2 | Alexandria via LeMat-Bulk | PBE | optimized geometry
data_RbSrHgI2
_cell_length_a 6.9156
_cell_length_b 6.9156
_cell_length_c 6.0210
_cell_angle_alpha 90.00
_cell_angle_beta 90.00
_cell_angle_gamma 90.00
_space_group_name_H-M_alt 'P 1'
_space_group_IT_number 1
loop_
_space_group_symop_operation_xyz
'x,y,z'
loop_
_atom_site_label
_atom_site_type_symbol
_atom_site_fract_x
_atom_site_fract_y
_atom_site_fract_z
Rb1 Rb 0.0000 0.0000 0.0000
Sr1 Sr 0.5000 0.5000 0.0000
Hg1 Hg 0.0000 0.0000 0.5000
I1 I 0.0000 0.5000 0.5000
I2 I 0.5000 0.0000 0.5000
# Formation energy from raw total energies: -0.396 eV/atom

---

Record 3
# RbSrHgI2 | Alexandria via LeMat-Bulk | PBE | optimized geometry
data_RbSrHgI2
_cell_length_a 6.9571
_cell_length_b 6.9571
_cell_length_c 5.9013
_cell_angle_alpha 90.00
_cell_angle_beta 90.00
_cell_angle_gamma 90.00
_space_group_name_H-M_alt 'P 1'
_space_group_IT_number 1
loop_
_space_group_symop_operation_xyz
'x,y,z'
loop_
_atom_site_label
_atom_site_type_symbol
_atom_site_fract_x
_atom_site_fract_y
_atom_site_fract_z
Rb1 Rb 0.0000 0.0000 0.0000
Sr1 Sr 0.5000 0.5000 0.0000
Hg1 Hg 0.5000 0.5000 0.5000
I1 I 0.0000 0.5000 0.5000
I2 I 0.5000 0.0000 0.5000
# Formation energy from raw total energies: -0.572 eV/atom

---

Record 4
# RbTbHgI6 | Alexandria via LeMat-Bulk | PBE | optimized geometry
data_RbTbHgI6
_cell_length_a 7.9245
_cell_length_b 7.9245
_cell_length_c 8.1773
_cell_angle_alpha 90.00
_cell_angle_beta 90.00
_cell_angle_gamma 120.00
_space_group_name_H-M_alt 'P 1'
_space_group_IT_number 1
loop_
_space_group_symop_operation_xyz
'x,y,z'
loop_
_atom_site_label
_atom_site_type_symbol
_atom_site_fract_x
_atom_site_fract_y
_atom_site_fract_z
Rb1 Rb 0.0000 0.0000 0.0000
Tb1 Tb 0.3333 0.6667 0.5000
Hg1 Hg 0.6667 0.3333 0.5000
I1 I 0.0019 0.3756 0.7186
I2 I 0.0019 0.6263 0.2814
I3 I 0.3737 0.3756 0.2814
I4 I 0.3737 0.9981 0.7186
I5 I 0.6244 0.6263 0.7186
I6 I 0.6244 0.9981 0.2814
# Formation energy from raw total energies: -1.018 eV/atom

---

Record 5
# Rb2TcHgI6 | Alexandria via LeMat-Bulk | PBE | optimized geometry
data_Rb2TcHgI6
_cell_length_a 8.6106
_cell_length_b 8.6106
_cell_length_c 8.6106
_cell_angle_alpha 119.96
_cell_angle_beta 119.96
_cell_angle_gamma 90.06
_space_group_name_H-M_alt 'P 1'
_space_group_IT_number 1
loop_
_space_group_symop_operation_xyz
'x,y,z'
loop_
_atom_site_label
_atom_site_type_symbol
_atom_site_fract_x
_atom_site_fract_y
_atom_site_fract_z
Rb1 Rb 0.2500 0.7500 0.5000
Rb2 Rb 0.7500 0.2500 0.5000
Tc1 Tc 0.0000 0.0000 0.0000
Hg1 Hg 0.5000 0.5000 0.0000
I1 I 0.2275 0.2275 0.0000
I2 I 0.2272 0.2272 0.4543
I3 I 0.2272 0.7728 0.0000
I4 I 0.7728 0.2272 0.0000
I5 I 0.7725 0.7725 0.0000
I6 I 0.7728 0.7728 0.5457
# Formation energy from raw total energies: -0.614 eV/atom

---

Record 6
# RbHg2TeI | Alexandria via LeMat-Bulk | PBE | optimized geometry
data_RbHg2TeI
_cell_length_a 5.7317
_cell_length_b 5.7317
_cell_length_c 7.4128
_cell_angle_alpha 90.00
_cell_angle_beta 90.00
_cell_angle_gamma 90.00
_space_group_name_H-M_alt 'P 1'
_space_group_IT_number 1
loop_
_space_group_symop_operation_xyz
'x,y,z'
loop_
_atom_site_label
_atom_site_type_symbol
_atom_site_fract_x
_atom_site_fract_y
_atom_site_fract_z
Rb1 Rb 0.0000 0.0000 0.0000
Hg1 Hg 0.0000 0.5000 0.5000
Hg2 Hg 0.5000 0.0000 0.5000
Te1 Te 0.0000 0.0000 0.5000
I1 I 0.5000 0.5000 0.0000
# Formation energy from raw total energies: -0.531 eV/atom

---

Record 7
# Rb2ThHgI6 | Alexandria via LeMat-Bulk | PBE | optimized geometry
data_Rb2ThHgI6
_cell_length_a 15.1330
_cell_length_b 15.1330
_cell_length_c 15.1330
_cell_angle_alpha 35.32
_cell_angle_beta 35.32
_cell_angle_gamma 35.32
_space_group_name_H-M_alt 'P 1'
_space_group_IT_number 1
loop_
_space_group_symop_operation_xyz
'x,y,z'
loop_
_atom_site_label
_atom_site_type_symbol
_atom_site_fract_x
_atom_site_fract_y
_atom_site_fract_z
Rb1 Rb 0.1273 0.1273 0.1273
Rb2 Rb 0.2696 0.2696 0.2696
Rb3 Rb 0.7304 0.7304 0.7304
Rb4 Rb 0.8727 0.8727 0.8727
Th1 Th 0.0000 0.0000 0.0000
Th2 Th 0.5000 0.5000 0.5000
Hg1 Hg 0.4231 0.4231 0.4231
Hg2 Hg 0.5769 0.5769 0.5769
I1 I 0.1050 0.6499 0.6499
I2 I 0.1990 0.1990 0.7297
I3 I 0.1990 0.7297 0.1990
I4 I 0.2703 0.8010 0.8010
I5 I 0.3501 0.3501 0.8950
I6 I 0.3501 0.8950 0.3501
I7 I 0.6499 0.1050 0.6499
I8 I 0.6499 0.6499 0.1050
I9 I 0.7297 0.1990 0.1990
I10 I 0.8010 0.2703 0.8010
I11 I 0.8010 0.8010 0.2703
I12 I 0.8950 0.3501 0.3501
# Formation energy from raw total energies: -1.150 eV/atom

---

Record 8
# Rb2ThHg2I6 | Alexandria via LeMat-Bulk | PBE | optimized geometry
data_Rb2ThHg2I6
_cell_length_a 9.0889
_cell_length_b 9.0889
_cell_length_c 9.7891
_cell_angle_alpha 100.25
_cell_angle_beta 100.25
_cell_angle_gamma 120.86
_space_group_name_H-M_alt 'P 1'
_space_group_IT_number 1
loop_
_space_group_symop_operation_xyz
'x,y,z'
loop_
_atom_site_label
_atom_site_type_symbol
_atom_site_fract_x
_atom_site_fract_y
_atom_site_fract_z
Rb1 Rb 0.1682 0.8318 0.0000
Rb2 Rb 0.8318 0.1682 0.0000
Th1 Th 0.5000 0.5000 0.0000
Hg1 Hg 0.3115 0.6885 0.5000
Hg2 Hg 0.6885 0.3115 0.5000
I1 I 0.1454 0.4222 0.8036
I2 I 0.2941 0.2941 0.1940
I3 I 0.4222 0.1454 0.8036
I4 I 0.5778 0.8546 0.1964
I5 I 0.7059 0.7059 0.8060
I6 I 0.8546 0.5778 0.1964
# Formation energy from raw total energies: -1.100 eV/atom

---

Record 9
# RbTiHgI6 | Alexandria via LeMat-Bulk | PBE | optimized geometry
data_RbTiHgI6
_cell_length_a 7.7528
_cell_length_b 8.0514
_cell_length_c 9.0495
_cell_angle_alpha 63.70
_cell_angle_beta 79.84
_cell_angle_gamma 66.45
_space_group_name_H-M_alt 'P 1'
_space_group_IT_number 1
loop_
_space_group_symop_operation_xyz
'x,y,z'
loop_
_atom_site_label
_atom_site_type_symbol
_atom_site_fract_x
_atom_site_fract_y
_atom_site_fract_z
Rb1 Rb 0.0000 0.0000 0.0000
Ti1 Ti 0.9993 0.6829 0.6335
Hg1 Hg 0.4995 0.1831 0.6336
I1 I 0.2021 0.8918 0.6367
I2 I 0.2364 0.5808 0.3925
I3 I 0.2452 0.3436 0.8785
I4 I 0.7538 0.7782 0.8785
I5 I 0.7615 0.0250 0.3924
I6 I 0.7964 0.4706 0.6371
# Formation energy from raw total energies: -0.720 eV/atom

---

Record 10
# RbTi2HgI | Alexandria via LeMat-Bulk | PBE | optimized geometry
data_RbTi2HgI
_cell_length_a 6.1242
_cell_length_b 6.1242
_cell_length_c 6.4786
_cell_angle_alpha 90.00
_cell_angle_beta 90.00
_cell_angle_gamma 90.00
_space_group_name_H-M_alt 'P 1'
_space_group_IT_number 1
loop_
_space_group_symop_operation_xyz
'x,y,z'
loop_
_atom_site_label
_atom_site_type_symbol
_atom_site_fract_x
_atom_site_fract_y
_atom_site_fract_z
Rb1 Rb 0.0000 0.0000 0.0000
Ti1 Ti 0.0000 0.5000 0.0000
Ti2 Ti 0.5000 0.0000 0.0000
Hg1 Hg 0.5000 0.5000 0.5000
I1 I 0.0000 0.0000 0.5000
# Formation energy from raw total energies: 1.568 eV/atom

---

Record 11
# RbTlHgI4 | Alexandria via LeMat-Bulk | PBE | optimized geometry
data_RbTlHgI4
_cell_length_a 8.3849
_cell_length_b 8.3319
_cell_length_c 9.7738
_cell_angle_alpha 90.00
_cell_angle_beta 107.61
_cell_angle_gamma 90.00
_space_group_name_H-M_alt 'P 1'
_space_group_IT_number 1
loop_
_space_group_symop_operation_xyz
'x,y,z'
loop_
_atom_site_label
_atom_site_type_symbol
_atom_site_fract_x
_atom_site_fract_y
_atom_site_fract_z
Rb1 Rb 0.2271 0.2500 0.0602
Rb2 Rb 0.7729 0.7500 0.9398
Tl1 Tl 0.2325 0.2500 0.5564
Tl2 Tl 0.7675 0.7500 0.4436
Hg1 Hg 0.2455 0.7500 0.7980
Hg2 Hg 0.7545 0.2500 0.2020
I1 I 0.0002 0.0075 0.7307
I2 I 0.0002 0.4925 0.7307
I3 I 0.9998 0.5075 0.2693
I4 I 0.9998 0.9925 0.2693
I5 I 0.4162 0.7500 0.0954
I6 I 0.4298 0.7500 0.6012
I7 I 0.5702 0.2500 0.3988
I8 I 0.5838 0.2500 0.9046
# Formation energy from raw total energies: -0.742 eV/atom

---

Record 12
# Rb2Tl3HgI6 | Alexandria via LeMat-Bulk | PBE | optimized geometry
data_Rb2Tl3HgI6
_cell_length_a 8.7167
_cell_length_b 8.7167
_cell_length_c 8.8348
_cell_angle_alpha 99.60
_cell_angle_beta 99.60
_cell_angle_gamma 119.93
_space_group_name_H-M_alt 'P 1'
_space_group_IT_number 1
loop_
_space_group_symop_operation_xyz
'x,y,z'
loop_
_atom_site_label
_atom_site_type_symbol
_atom_site_fract_x
_atom_site_fract_y
_atom_site_fract_z
Rb1 Rb 0.1632 0.8368 0.0000
Rb2 Rb 0.8368 0.1632 0.0000
Tl1 Tl 0.0000 0.0000 0.5000
Tl2 Tl 0.3259 0.6741 0.5000
Tl3 Tl 0.6741 0.3259 0.5000
Hg1 Hg 0.5000 0.5000 0.0000
I1 I 0.1017 0.4191 0.7503
I2 I 0.2694 0.2694 0.2651
I3 I 0.4191 0.1017 0.7503
I4 I 0.5809 0.8983 0.2497
I5 I 0.7306 0.7306 0.7349
I6 I 0.8983 0.5809 0.2497
# Formation energy from raw total energies: -0.807 eV/atom